## SiNiSeBr2 (PBE)

Data for crystalline SiNiSeBr2 at its relaxed geometry.

POSCAR file:
```
SiNiSeBr2
1.0
-1.932 -2.728 -3.403
-3.348 -1.457 3.069
-2.898 3.766 -1.374
Ni Si Se Br
1 1 1 2
Direct
0.000 0.000 0.000 Ni
0.500 0.500 0.500 Si
0.000 0.000 0.500 Se
0.000 0.500 0.000 Br
0.500 0.000 0.000 Br
```

Computed properties:
The uncorrected formation energy comes out at 33.6 kJ/mol of atoms. The calculation puts the calculated total energy at -3.26 eV/atom. For the energy above the most stable polymorph in this dataset, the calculation gives 0.0 meV/atom.

## Ti2GaFe2 (PBE)

Data for crystalline Ti2GaFe2 at its relaxed geometry.

POSCAR file:
```
Ti2GaFe2
1.0
-0.233 3.820 0.980
-0.602 -1.005 3.773
4.396 1.499 3.169
Fe Ga Ti
2 1 2
Direct
0.392 0.392 0.217 Fe
0.608 0.608 0.783 Fe
0.000 0.000 0.000 Ga
0.750 0.250 0.500 Ti
0.250 0.750 0.500 Ti
```

Computed properties:
The calculation puts the calculated total energy at -7.03 eV/atom. The calculation puts the formation energy at 122 meV/atom.

## YCo2NiTe (PBE)

Data for crystalline YCo2NiTe at its relaxed geometry.

POSCAR file:
```
YCo2NiTe
1.0
-0.037 3.439 -3.253
-4.714 0.520 0.604
0.788 3.212 3.387
Y Ni Te Co
1 1 1 2
Direct
0.000 0.000 0.000 Y
0.000 0.500 0.000 Ni
0.500 0.500 0.500 Te
0.000 0.000 0.500 Co
0.500 0.000 0.000 Co
```

Computed properties:
The uncorrected formation energy comes out at 132.3 kJ/mol of atoms. The calculation puts the calculated total energy at -4.55 eV/atom.

## Zn2SiBAu (PBE)

Data for crystalline Zn2SiBAu at its relaxed geometry.

POSCAR file:
```
Zn2SiBAu
1.0
4.643 0.000 0.000
0.000 4.809 0.000
0.000 0.000 4.643
Zn B Au Si
2 1 1 1
Direct
0.000 0.000 0.500 Zn
0.500 0.000 0.000 Zn
0.500 0.500 0.500 B
0.000 0.500 0.000 Au
0.000 0.000 0.000 Si
```

Computed properties:
The uncorrected formation energy comes out at 113.5 kJ/mol of atoms. The calculation puts the calculated total energy at -2.41 eV/atom.

## Y6Ho2Er3In (PBE)

Data for crystalline Y6Ho2Er3In at its relaxed geometry.

POSCAR file:
```
Y6Ho2Er3In
1.0
6.092 -0.003 0.003
-3.047 5.275 0.003
-1.028 -1.779 11.438
Y Ho Er In
6 2 3 1
Direct
0.918 0.589 0.753 Y
0.753 0.753 0.248 Y
0.082 0.411 0.247 Y
0.589 0.918 0.753 Y
0.247 0.247 0.752 Y
0.411 0.082 0.247 Y
0.334 0.666 0.000 Ho
0.666 0.334 0.000 Ho
0.167 0.833 0.500 Er
0.833 0.167 0.500 Er
0.500 0.500 0.500 Er
0.000 0.000 0.000 In
```

Computed properties:
The calculation puts the calculated total energy at -5.40 eV/atom. The calculation puts the formation energy at -36 meV/atom.

no.,volume (Å³/f.u.)
1,113
2,76
3,107
4,104
5,367